First-principles (PBE) data for a relaxed Sr2HfPtN6 crystal, as listed in OQMD via LeMat-Bulk.

Values from the calculation:
**Size of the total moment**: 0.03 Bohr magnetons per cell
**Final energy**: -6.886 eV per atom

CIF file:
```
data_Sr2HfPtN6
_space_group_name_H-M_alt 'P 1'
_space_group_IT_number 1
_cell_length_a 5.7674
_cell_length_b 5.7683
_cell_length_c 5.7724
_cell_angle_alpha 60.13
_cell_angle_beta 60.18
_cell_angle_gamma 60.09
loop_
_space_group_symop_operation_xyz
'x,y,z'
loop_
_atom_site_label
_atom_site_type_symbol
_atom_site_fract_x
_atom_site_fract_y
_atom_site_fract_z
Sr1 Sr 0.2502 0.2502 0.2491
Sr2 Sr 0.7498 0.7498 0.7509
Hf1 Hf 0.5000 0.5000 0.5000
Pt1 Pt 0.0000 0.0000 0.0000
N1 N 0.2404 0.7545 0.2482
N2 N 0.2446 0.7526 0.7583
N3 N 0.2488 0.2403 0.7561
N4 N 0.7512 0.7597 0.2439
N5 N 0.7554 0.2474 0.2417
N6 N 0.7596 0.2455 0.7518
```

First-principles (PBE) data for a relaxed DyYPd4Pb2 crystal, as listed in OQMD via LeMat-Bulk.

Values from the calculation:
**Size of the total moment**: 0.01 Bohr magnetons per cell
**Final energy**: -5.592 eV per atom

CIF file:
```
data_DyYPd4Pb2
_space_group_name_H-M_alt 'P 1'
_space_group_IT_number 1
_cell_length_a 4.6763
_cell_length_b 4.6763
_cell_length_c 8.9077
_cell_angle_alpha 90.00
_cell_angle_beta 90.00
_cell_angle_gamma 120.00
loop_
_space_group_symop_operation_xyz
'x,y,z'
loop_
_atom_site_label
_atom_site_type_symbol
_atom_site_fract_x
_atom_site_fract_y
_atom_site_fract_z
Dy1 Dy 0.0000 0.0000 0.0000
Y1 Y 0.6667 0.3333 0.5000
Pd1 Pd 0.0000 0.0000 0.3396
Pd2 Pd 0.0000 0.0000 0.6604
Pd3 Pd 0.6667 0.3333 0.1592
Pd4 Pd 0.6667 0.3333 0.8408
Pb1 Pb 0.3333 0.6667 0.2503
Pb2 Pb 0.3333 0.6667 0.7497
```

First-principles (PBE) data for a relaxed PaZn crystal, as listed in OQMD via LeMat-Bulk.

Values from the calculation:
**Size of the total moment**: 0.06 Bohr magnetons per cell
**Final energy**: -5.214 eV per atom
**Formation energy**: 0.17 eV/atom

CIF file:
```
data_PaZn
_space_group_name_H-M_alt 'P 1'
_space_group_IT_number 1
_cell_length_a 6.5813
_cell_length_b 6.5813
_cell_length_c 4.4548
_cell_angle_alpha 90.00
_cell_angle_beta 90.00
_cell_angle_gamma 120.00
loop_
_space_group_symop_operation_xyz
'x,y,z'
loop_
_atom_site_label
_atom_site_type_symbol
_atom_site_fract_x
_atom_site_fract_y
_atom_site_fract_z
Pa1 Pa 0.0000 0.0000 0.0000
Pa2 Pa 0.3531 0.1765 0.5000
Pa3 Pa 0.8235 0.1765 0.5000
Pa4 Pa 0.8235 0.6469 0.5000
Zn1 Zn 0.0615 0.5307 0.0000
Zn2 Zn 0.3333 0.6667 0.5000
Zn3 Zn 0.4693 0.5307 0.0000
Zn4 Zn 0.4693 0.9385 0.0000
```

First-principles (PBE) data for a relaxed RbAcZr crystal, as listed in OQMD via LeMat-Bulk.

Values from the calculation:
**Size of the total moment**: 4.55 Bohr magnetons per cell
**Final energy**: -3.175 eV per atom

CIF file:
```
data_RbAcZr
_space_group_name_H-M_alt 'P 1'
_space_group_IT_number 1
_cell_length_a 5.9845
_cell_length_b 5.9845
_cell_length_c 5.9845
_cell_angle_alpha 60.00
_cell_angle_beta 60.00
_cell_angle_gamma 60.00
loop_
_space_group_symop_operation_xyz
'x,y,z'
loop_
_atom_site_label
_atom_site_type_symbol
_atom_site_fract_x
_atom_site_fract_y
_atom_site_fract_z
Rb1 Rb 0.0000 0.0000 0.0000
Ac1 Ac 0.5000 0.5000 0.5000
Zr1 Zr 0.7500 0.7500 0.7500
```

First-principles (PBE) data for a relaxed Tb2Ag3Au crystal, as listed in OQMD via LeMat-Bulk.

Values from the calculation:
**Size of the total moment**: 0.00 Bohr magnetons per cell
**Final energy**: -3.972 eV per atom
**Formation energy**: -0.47 eV/atom

CIF file:
```
data_Tb2Ag3Au
_space_group_name_H-M_alt 'P 1'
_space_group_IT_number 1
_cell_length_a 3.7450
_cell_length_b 3.7450
_cell_length_c 9.1651
_cell_angle_alpha 90.00
_cell_angle_beta 90.00
_cell_angle_gamma 90.00
loop_
_space_group_symop_operation_xyz
'x,y,z'
loop_
_atom_site_label
_atom_site_type_symbol
_atom_site_fract_x
_atom_site_fract_y
_atom_site_fract_z
Tb1 Tb 0.0000 0.0000 0.0000
Tb2 Tb 0.5000 0.5000 0.4903
Ag1 Ag 0.0000 0.0000 0.3274
Ag2 Ag 0.0000 0.0000 0.6648
Ag3 Ag 0.5000 0.5000 0.8203
Au1 Au 0.5000 0.5000 0.1566
```

First-principles (PBE) data for a relaxed ZrFe2Tc crystal, as listed in OQMD via LeMat-Bulk.

Values from the calculation:
**Size of the total moment**: 3.90 Bohr magnetons per cell
**Final energy**: -8.813 eV per atom
**Formation energy**: 0.07 eV/atom

CIF file:
```
data_ZrFe2Tc
_space_group_name_H-M_alt 'P 1'
_space_group_IT_number 1
_cell_length_a 4.3562
_cell_length_b 4.3562
_cell_length_c 4.3562
_cell_angle_alpha 60.00
_cell_angle_beta 60.00
_cell_angle_gamma 60.00
loop_
_space_group_symop_operation_xyz
'x,y,z'
loop_
_atom_site_label
_atom_site_type_symbol
_atom_site_fract_x
_atom_site_fract_y
_atom_site_fract_z
Zr1 Zr 0.0000 0.0000 0.0000
Fe1 Fe 0.2500 0.2500 0.2500
Fe2 Fe 0.5000 0.5000 0.5000
Tc1 Tc 0.7500 0.7500 0.7500
```